YZrCu2 | SCAN | single point on PBEsol structure

a = 3.3291 Å, b = 3.3290 Å, c = 6.6233 Å
α = 90.00°, β = 90.00°, γ = 89.98°
Fractional positions:
1 Zr 0.5000 0.5000 0.5000
2 Cu 0.0000 0.0000 0.7171
3 Cu 0.0000 0.0000 0.2829
4 Y 0.5000 0.5000 0.0000

Computed properties:
The value obtained for the density of states at the Fermi level is 2.9 states/eV/cell. Its density is 6.950 Mg/m³. For the formation enthalpy at 0 K, the calculation gives -0.9 eV/f.u.